Entry 1:
# CdPbOF2

A relaxed structure of CdPbOF2 (PBE, Alexandria).

Cell lengths 4.2725, 4.2725, 4.3687 Å; angles 90.00, 90.00, 90.00 degrees
Atoms (fractional coordinates):
Pb 0.5000 0.5000 0.5000
F 0.0000 0.5000 0.0000
F 0.5000 0.0000 0.0000
O 0.0000 0.0000 0.5000
Cd 0.0000 0.0000 0.0000

## Properties
size of the total moment	0.0000	μB per atom
crystal system	tetragonal
formation energy from raw total energies	-1.46	eV/atom
offset from the most stable computed form	374.7	meV/atom
SG	P4/mmm
density of states at the Fermi level	0.000	states/eV per cell

=====

Entry 2:
# CdPbOF2

A relaxed structure of CdPbOF2 (PBE, Alexandria).

Cell lengths 3.6689, 6.0444, 7.9033 Å; angles 90.00, 90.00, 107.67 degrees
Atoms (fractional coordinates):
Cd 0.0000 0.0000 0.5000
Cd 0.0000 0.0000 0.0000
Pb 0.2865 0.5731 0.7500
Pb 0.7135 0.4269 0.2500
O 0.9154 0.8308 0.7500
O 0.0846 0.1692 0.2500
F 0.6336 0.2673 0.5414
F 0.3664 0.7327 0.4586
F 0.3664 0.7327 0.0414
F 0.6336 0.2673 0.9586

## Properties
size of the total moment	0.0000	μB per atom
crystal system	orthorhombic
formation energy from raw total energies	-1.84	eV/atom
offset from the most stable computed form	0.0	meV/atom
SG	Cmcm
density of states at the Fermi level	0.000	states/eV per cell

=====

Entry 3:
# CdPbO2F

A relaxed structure of CdPbO2F (PBE, Alexandria).

Cell lengths 4.2404, 4.2404, 4.4133 Å; angles 90.00, 90.00, 90.00 degrees
Site moments in Bohr magnetons follow the coordinates.
Atoms (fractional coordinates):
Pb 0.5000 0.5000 0.5000  -0.01
F 0.0000 0.0000 0.5000  0.01
O 0.0000 0.5000 0.0000  0.15
O 0.5000 0.0000 0.0000  0.15
Cd 0.0000 0.0000 0.0000  0.03

## Properties
size of the total moment	0.0755	μB per atom
crystal system	tetragonal
formation energy from raw total energies	-0.94	eV/atom
SG	P4/mmm
density of states at the Fermi level	2.359	states/eV per cell